#i
Here is a geometry-optimized Ac2La4Nd5 structure from Alexandria via LeMat-Bulk. Energies are from PBE.

a = 6.914 Å, b = 20.222 Å, c = 5.981 Å
α = 90.00°, β = 90.00°, γ = 90.00°
Space group Pbam (No. 55)
One atom of each set of equivalent atoms:
Ac 0.110 0.198 0.000 x4
La 0.107 0.374 0.000 x4
La 0.211 0.015 0.000 x4
Nd 0.000 0.500 0.500 x2
Nd 0.040 0.906 0.500 x4
Nd 0.067 0.706 0.500 x4

Output
Volume   836 Å³/cell


#ii
Here is a geometry-optimized Ac2La4Nd5 structure from Alexandria via LeMat-Bulk. Energies are from PBE.

a = 17.302 Å, b = 6.982 Å, c = 7.040 Å
α = 90.00°, β = 99.59°, γ = 90.00°
Space group C2/m (No. 12)
One atom of each set of equivalent atoms:
Ac 0.199 0.000 0.318 x4
La 0.086 0.500 0.401 x4
La 0.247 0.000 0.827 x4
Nd 0.000 0.000 0.500 x2
Nd 0.087 0.262 0.902 x8

Output
Volume   839 Å³/cell


Stability ranking, top and bottom: #i is the most stable and #ii is the least stable.


#i
Here is a geometry-optimized AcLa12Nd6 structure from Alexandria via LeMat-Bulk. Energies are from PBE.

a = 14.2726 Å, b = 14.2726 Å, c = 12.3355 Å
α = 90.00°, β = 90.00°, γ = 120.00°
Space group R-3m (No. 166, hexagonal axes)
One atom of each set of equivalent atoms:
Ac 0.0000 0.0000 0.0000 x3
La 0.0000 0.3903 0.5000 x18
La 0.0899 0.1798 0.3480 x18
Nd 0.0000 0.5000 0.2647 x18

Output
Volume   2176 Å³/cell


#ii
Here is a geometry-optimized AcLa12Nd6 structure from Alexandria via LeMat-Bulk. Energies are from PBE.

a = 13.9949 Å, b = 13.9949 Å, c = 12.5506 Å
α = 90.00°, β = 90.00°, γ = 120.00°
Space group R-3m (No. 166, hexagonal axes)
One atom of each set of equivalent atoms:
Ac 0.0000 0.0000 0.0000 x3
La 0.0000 0.2555 0.5000 x18
La 0.0907 0.1815 0.2631 x18
Nd 0.0414 0.5207 0.6187 x18

Output
Volume   2129 Å³/cell


Stability ranking, top and bottom: #ii is the most stable and #i is the least stable.


#i
Here is a geometry-optimized Ac2La2Nd3 structure from Alexandria via LeMat-Bulk. Energies are from PBE.

a = 18.431 Å, b = 3.735 Å, c = 9.056 Å
α = 90.00°, β = 118.95°, γ = 90.00°
Space group C2/m (No. 12)
One atom of each set of equivalent atoms:
Ac 0.146 0.000 0.330 x4
La 0.066 0.500 0.906 x4
Nd 0.000 0.000 0.500 x2
Nd 0.211 0.000 0.807 x4

Output
Volume   546 Å³/cell


#ii
Here is a geometry-optimized Ac2La2Nd3 structure from Alexandria via LeMat-Bulk. Energies are from PBE.

a = 6.544 Å, b = 6.562 Å, c = 13.161 Å
α = 99.88°, β = 99.36°, γ = 99.40°
Space group P-1 (No. 2)
One atom of each set of equivalent atoms:
Ac 0.073 0.149 0.143 x2
Ac 0.075 0.149 0.644 x2
La 0.222 0.434 0.430 x2
La 0.360 0.715 0.211 x2
Nd 0.221 0.433 0.931 x2
Nd 0.360 0.714 0.714 x2
Nd 0.500 0.000 0.000 x1
Nd 0.500 0.000 0.500 x1

Output
Volume   539 Å³/cell


Stability ranking, top and bottom: #ii is the most stable and #i is the least stable.


#i
Here is a geometry-optimized Ac12La5Nd2 structure from Alexandria via LeMat-Bulk. Energies are from PBE.

a = 19.370 Å, b = 12.631 Å, c = 6.747 Å
α = 90.00°, β = 103.29°, γ = 90.00°
Space group C2/m (No. 12)
One atom of each set of equivalent atoms:
Ac 0.058 0.000 0.273 x4
Ac 0.102 0.248 0.628 x8
Ac 0.111 0.500 0.004 x4
Ac 0.197 0.240 0.205 x8
La 0.000 0.500 0.500 x2
La 0.186 0.000 0.858 x4
La 0.210 0.500 0.556 x4
Nd 0.000 0.263 0.000 x4

Output
Volume   1606 Å³/cell


#ii
Here is a geometry-optimized Ac12La5Nd2 structure from Alexandria via LeMat-Bulk. Energies are from PBE.

a = 19.812 Å, b = 7.699 Å, c = 11.052 Å
α = 90.00°, β = 106.78°, γ = 90.00°
Space group C2/m (No. 12)
One atom of each set of equivalent atoms:
Ac 0.002 0.000 0.176 x4
Ac 0.034 0.500 0.734 x4
Ac 0.159 0.258 0.391 x8
Ac 0.163 0.250 0.038 x8
La 0.000 0.500 0.000 x2
La 0.171 0.000 0.719 x4
La 0.202 0.500 0.717 x4
Nd 0.000 0.203 0.500 x4

Output
Volume   1614 Å³/cell


Stability ranking, top and bottom: #i is the most stable and #ii is the least stable.


#i
Here is a geometry-optimized AcLaNd4 structure from Alexandria via LeMat-Bulk. Energies are from PBE.

a = 5.905 Å, b = 10.245 Å, c = 7.324 Å
α = 90.00°, β = 90.00°, γ = 90.00°
Space group Cmmm (No. 65)
One atom of each set of equivalent atoms:
Ac 0.000 0.000 0.000 x2
La 0.000 0.000 0.500 x2
Nd 0.000 0.333 0.254 x8

Output
Volume   443 Å³/cell


#ii
Here is a geometry-optimized AcLaNd4 structure from Alexandria via LeMat-Bulk. Energies are from PBE.

a = 6.788 Å, b = 12.005 Å, c = 11.012 Å
α = 90.00°, β = 90.00°, γ = 90.00°
Space group Cmcm (No. 63)
One atom of each set of equivalent atoms:
Ac 0.000 0.000 0.000 x4
La 0.000 0.187 0.250 x4
Nd 0.000 0.328 0.572 x8
Nd 0.232 0.419 0.250 x8

Output
Volume   897 Å³/cell


Stability ranking, top and bottom: #i is the most stable and #ii is the least stable.


#i
Here is a geometry-optimized Ac3LaNd4 structure from Alexandria via LeMat-Bulk. Energies are from PBE.

a = 10.857 Å, b = 7.574 Å, c = 7.572 Å
α = 90.00°, β = 90.00°, γ = 90.00°
Space group Pmn2_1 (No. 31)
One atom of each set of equivalent atoms:
Ac 0.000 0.001 0.000 x2
Ac 0.250 0.255 0.250 x4
La 0.000 0.499 0.500 x2
Nd 0.000 0.000 0.500 x2
Nd 0.000 0.500 0.001 x2
Nd 0.250 0.251 0.750 x4

Output
Volume   623 Å³/cell


#ii
Here is a geometry-optimized Ac3LaNd4 structure from Alexandria via LeMat-Bulk. Energies are from PBE.

a = 12.329 Å, b = 7.695 Å, c = 6.629 Å
α = 90.00°, β = 90.00°, γ = 90.00°
Space group Pmn2_1 (No. 31)
One atom of each set of equivalent atoms:
Ac 0.000 0.131 0.000 x2
Ac 0.247 0.134 0.352 x4
La 0.000 0.867 0.510 x2
Nd 0.000 0.391 0.518 x2
Nd 0.000 0.620 0.022 x2
Nd 0.249 0.618 0.341 x4

Output
Volume   629 Å³/cell


Stability ranking, top and bottom: #i is the most stable and #ii is the least stable.


#i
Here is a geometry-optimized Ac4La5Nd structure from Alexandria via LeMat-Bulk. Energies are from PBE.

a = 7.405 Å, b = 9.017 Å, c = 12.690 Å
α = 90.00°, β = 90.00°, γ = 90.00°
Space group Pmmn (No. 59, origin choice 2)
One atom of each set of equivalent atoms:
Ac 0.000 0.250 0.032 x4
Ac 0.250 0.007 0.499 x4
La 0.001 0.070 0.770 x8
La 0.250 0.750 0.713 x2
Nd 0.250 0.250 0.280 x2

Output
Volume   847 Å³/cell


#ii
Here is a geometry-optimized Ac4La5Nd structure from Alexandria via LeMat-Bulk. Energies are from PBE.

a = 18.003 Å, b = 3.795 Å, c = 12.087 Å
α = 90.00°, β = 90.65°, γ = 90.00°
Space group C2/m (No. 12)
One atom of each set of equivalent atoms:
Ac 0.031 0.000 0.249 x4
Ac 0.163 0.500 0.749 x4
La 0.000 0.500 0.500 x2
La 0.172 0.000 0.042 x4
La 0.172 0.000 0.455 x4
Nd 0.000 0.500 0.000 x2

Output
Volume   826 Å³/cell


Stability ranking, top and bottom: #ii is the most stable and #i is the least stable.


#i
Here is a geometry-optimized Ac7La2Nd2 structure from Alexandria via LeMat-Bulk. Energies are from PBE.

a = 6.055 Å, b = 17.138 Å, c = 8.992 Å
α = 90.00°, β = 90.00°, γ = 90.00°
Space group Imm2 (No. 44)
One atom of each set of equivalent atoms:
Ac 0.000 0.000 0.000 x2
Ac 0.000 0.159 0.323 x4
Ac 0.000 0.360 0.536 x4
Ac 0.000 0.369 0.122 x4
La 0.000 0.200 0.830 x4
Nd 0.000 0.000 0.594 x2
Nd 0.000 0.500 0.821 x2

Output
Volume   933 Å³/cell


#ii
Here is a geometry-optimized Ac7La2Nd2 structure from Alexandria via LeMat-Bulk. Energies are from PBE.

a = 10.900 Å, b = 12.966 Å, c = 7.300 Å
α = 90.00°, β = 115.01°, γ = 90.00°
Space group C2/m (No. 12)
One atom of each set of equivalent atoms:
Ac 0.000 0.000 0.000 x2
Ac 0.165 0.500 0.481 x4
Ac 0.178 0.250 0.200 x8
La 0.000 0.131 0.500 x4
Nd 0.163 0.500 0.984 x4

Output
Volume   935 Å³/cell


Stability ranking, top and bottom: #i is the most stable and #ii is the least stable.


#i
Here is a geometry-optimized Ac2La5Nd2 structure from Alexandria via LeMat-Bulk. Energies are from PBE.

a = 18.670 Å, b = 3.721 Å, c = 10.328 Å
α = 90.00°, β = 103.79°, γ = 90.00°
Space group C2/m (No. 12)
One atom of each set of equivalent atoms:
Ac 0.015 0.000 0.183 x4
La 0.000 0.500 0.500 x2
La 0.161 0.000 0.707 x4
La 0.163 0.500 0.028 x4
Nd 0.171 0.500 0.405 x4

Output
Volume   697 Å³/cell


#ii
Here is a geometry-optimized Ac2La5Nd2 structure from Alexandria via LeMat-Bulk. Energies are from PBE.

a = 15.623 Å, b = 12.826 Å, c = 6.835 Å
α = 90.00°, β = 90.00°, γ = 90.00°
Space group Ima2 (No. 46)
One atom of each set of equivalent atoms:
Ac 0.000 0.000 0.000 x4
Ac 0.250 0.017 0.049 x4
La 0.056 0.232 0.232 x8
La 0.145 0.719 0.370 x8
La 0.250 0.197 0.500 x4
Nd 0.117 0.520 0.014 x8

Output
Volume   1370 Å³/cell


Stability ranking, top and bottom: #i is the most stable and #ii is the least stable.